1.
RbLiSbTe2 | PBE-GGA | optimized geometry

Cell and atoms, written as CIF:
```
data_RbLiSbTe2
_space_group_name_H-M_alt 'P 4/m m m'
_space_group_IT_number 123
_space_group_name_Hall '-P 4 2'
_cell_length_a 6.388
_cell_length_b 6.388
_cell_length_c 6.127
_cell_angle_alpha 90.00
_cell_angle_beta 90.00
_cell_angle_gamma 90.00
loop_
_atom_site_label
_atom_site_type_symbol
_atom_site_fract_x
_atom_site_fract_y
_atom_site_fract_z
Rb1 Rb 0.000 0.000 0.000
Li1 Li 0.500 0.500 0.500
Sb1 Sb 0.000 0.000 0.500
Te1 Te 0.000 0.500 0.000
```

2.
RbLiSb2Te | PBE-GGA | optimized geometry

Cell and atoms, written as CIF:
```
data_RbLiSb2Te
_space_group_name_H-M_alt 'P 4/m m m'
_space_group_IT_number 123
_space_group_name_Hall '-P 4 2'
_cell_length_a 5.213
_cell_length_b 5.213
_cell_length_c 5.606
_cell_angle_alpha 90.00
_cell_angle_beta 90.00
_cell_angle_gamma 90.00
loop_
_atom_site_label
_atom_site_type_symbol
_atom_site_fract_x
_atom_site_fract_y
_atom_site_fract_z
Rb1 Rb 0.000 0.000 0.000
Li1 Li 0.500 0.500 0.500
Sb1 Sb 0.000 0.500 0.500
Te1 Te 0.500 0.500 0.000
```

3.
RbLiSbTe2 | PBE-GGA | optimized geometry

Cell and atoms, written as CIF:
```
data_RbLiSbTe2
_space_group_name_H-M_alt 'P m m a'
_space_group_IT_number 51
_cell_length_a 9.068
_cell_length_b 8.584
_cell_length_c 4.350
_cell_angle_alpha 90.00
_cell_angle_beta 90.00
_cell_angle_gamma 90.00
loop_
_space_group_symop_operation_xyz
'x,y,z'
'-x,-y,-z'
'-x+1/2,-y,z'
'x+1/2,y,-z'
'x+1/2,-y,-z'
'-x+1/2,y,z'
'-x,y,-z'
'x,-y,z'
loop_
_atom_site_label
_atom_site_type_symbol
_atom_site_fract_x
_atom_site_fract_y
_atom_site_fract_z
Rb1 Rb 0.250 0.000 0.001
Li1 Li 0.000 0.500 0.000
Sb1 Sb 0.250 0.500 0.500
Te1 Te 0.000 0.259 0.500
```

4.
RbLiSbTe2 | PBE-GGA | optimized geometry

Cell and atoms, written as CIF:
```
data_RbLiSbTe2
_space_group_name_H-M_alt 'P 4/m m m'
_space_group_IT_number 123
_space_group_name_Hall '-P 4 2'
_cell_length_a 6.299
_cell_length_b 6.299
_cell_length_c 4.822
_cell_angle_alpha 90.00
_cell_angle_beta 90.00
_cell_angle_gamma 90.00
loop_
_atom_site_label
_atom_site_type_symbol
_atom_site_fract_x
_atom_site_fract_y
_atom_site_fract_z
Rb1 Rb 0.000 0.000 0.000
Li1 Li 0.000 0.000 0.500
Sb1 Sb 0.500 0.500 0.500
Te1 Te 0.000 0.500 0.000
```

5.
RbLiSbTe2 | PBE-GGA | optimized geometry

Cell and atoms, written as CIF:
```
data_RbLiSbTe2
_space_group_name_H-M_alt 'P 4/m m m'
_space_group_IT_number 123
_space_group_name_Hall '-P 4 2'
_cell_length_a 5.517
_cell_length_b 5.517
_cell_length_c 5.118
_cell_angle_alpha 90.00
_cell_angle_beta 90.00
_cell_angle_gamma 90.00
loop_
_atom_site_label
_atom_site_type_symbol
_atom_site_fract_x
_atom_site_fract_y
_atom_site_fract_z
Rb1 Rb 0.000 0.000 0.000
Li1 Li 0.500 0.500 0.500
Sb1 Sb 0.500 0.500 0.000
Te1 Te 0.000 0.500 0.500
```

6.
RbLiSb2Te | PBE-GGA | optimized geometry

Cell and atoms, written as CIF:
```
data_RbLiSb2Te
_space_group_name_H-M_alt 'P 4/m m m'
_space_group_IT_number 123
_space_group_name_Hall '-P 4 2'
_cell_length_a 6.135
_cell_length_b 6.135
_cell_length_c 6.312
_cell_angle_alpha 90.00
_cell_angle_beta 90.00
_cell_angle_gamma 90.00
loop_
_atom_site_label
_atom_site_type_symbol
_atom_site_fract_x
_atom_site_fract_y
_atom_site_fract_z
Rb1 Rb 0.000 0.000 0.000
Li1 Li 0.500 0.500 0.500
Sb1 Sb 0.000 0.500 0.000
Te1 Te 0.000 0.000 0.500
```

7.
RbLiTlSb | PBE-GGA | optimized geometry

Cell and atoms, written as CIF:
```
data_RbLiTlSb
_space_group_name_H-M_alt 'F -4 3 m'
_space_group_IT_number 216
_space_group_name_Hall 'F -4 2 3'
_cell_length_a 7.937
_cell_length_b 7.937
_cell_length_c 7.937
_cell_angle_alpha 90.00
_cell_angle_beta 90.00
_cell_angle_gamma 90.00
loop_
_atom_site_label
_atom_site_type_symbol
_atom_site_fract_x
_atom_site_fract_y
_atom_site_fract_z
Rb1 Rb 0.000 0.000 0.000
Li1 Li 0.250 0.250 0.750
Tl1 Tl 0.250 0.250 0.250
Sb1 Sb 0.000 0.000 0.500
```

8.
RbLiTlSb | PBE-GGA | optimized geometry

Cell and atoms, written as CIF:
```
data_RbLiTlSb
_space_group_name_H-M_alt 'C 1 m 1'
_space_group_IT_number 8
_cell_length_a 8.328
_cell_length_b 4.811
_cell_length_c 7.544
_cell_angle_alpha 90.00
_cell_angle_beta 111.64
_cell_angle_gamma 90.00
loop_
_space_group_symop_operation_xyz
'x,y,z'
'x,-y,z'
'x+1/2,y+1/2,z'
'x+1/2,-y+1/2,z'
loop_
_atom_site_label
_atom_site_type_symbol
_atom_site_fract_x
_atom_site_fract_y
_atom_site_fract_z
Rb1 Rb 0.000 0.000 0.000
Li1 Li 0.203 0.000 0.608
Tl1 Tl 0.293 0.500 0.381
Sb1 Sb 0.042 0.500 0.627
```

| no. | distance to the lowest polymorph of the same formula (eV per atom) |
| --- | --- |
| 1 | 1.348 |
| 2 | 0.000 |
| 3 | 0.000 |
| 4 | 1.234 |
| 5 | 0.392 |
| 6 | 1.034 |
| 7 | 0.169 |
| 8 | 0.000 |